(1)
Here is CoPdPt3 after structural relaxation from Alexandria via LeMat-Bulk. Energies are from PBE.

Output
SG: C2/m (12)
E above lowest polymorph (meV per atom): 223.3
Energy relative to the elements (eV per atom): 0.1618

Lattice parameters (Å, degrees): 6.804 6.804 5.494 98.78 125.97 113.74
Last column: magnetic moment on the atom in μB.
Sites, in units of the cell vectors:
Pt  0.237  0.923  0.657  0.34
Pt  0.763  0.077  0.343  0.34
Pt  0.279  0.574  0.853  0.31
Co  0.258  0.258  0.516  2.08
Pd  0.210  0.929  0.139  0.25
Pt  0.721  0.426  0.147  0.31
Co  0.742  0.742  0.484  2.08
Pt  0.266  0.580  0.343  0.34
Pt  0.734  0.420  0.657  0.34
Pd  0.790  0.071  0.861  0.25

(2)
Here is LiZrRuO2 after structural relaxation from Alexandria via LeMat-Bulk. Energies are from PBE.

Output
SG: P4/mmm (123)
ΔE_f (raw) (eV/atom): -0.022

Lattice parameters (Å, degrees): 3.924 5.162 3.924 90.00 90.00 90.00
Last column: magnetic moment on the atom in μB.
Sites, in units of the cell vectors:
Ru  0.000  0.000  0.000  -0.22
O  0.000  0.000  0.500  -0.02
Zr  0.000  0.500  0.000  0.54
Li  0.500  0.500  0.500  0.07
O  0.500  0.000  0.000  -0.08

(3)
Here is KTcI3 after structural relaxation from Alexandria via LeMat-Bulk. Energies are from PBE.

Output
SG: Pm-3m (221)
E above lowest polymorph (meV per atom): 148.6
ΔE_f (raw) (eV/atom): -0.286

Lattice parameters (Å, degrees): 5.705 5.705 5.705 90.00 90.00 90.00
Last column: magnetic moment on the atom in μB.
Sites, in units of the cell vectors:
I  0.000  0.000  0.500  0.05
K  0.500  0.500  0.500  0.00
I  0.000  0.500  0.000  0.04
Tc  0.000  0.000  0.000  2.72
I  0.500  0.000  0.000  0.08

(4)
Here is AlRu2I2 after structural relaxation from Alexandria via LeMat-Bulk. Energies are from PBE.

Output
SG: P4/mbm (127)
E above lowest polymorph (meV per atom): 266.9
ΔE_f (raw) (eV/atom): 1.035

Lattice parameters (Å, degrees): 8.051 8.051 3.196 90.00 90.00 90.00
Sites, in units of the cell vectors:
Al  0.500  0.500  0.000
I  0.335  0.835  0.000
I  0.665  0.165  0.000
I  0.835  0.665  0.000
Ru  0.123  0.623  0.500
Al  0.000  0.000  0.000
I  0.165  0.335  0.000
Ru  0.877  0.377  0.500
Ru  0.623  0.877  0.500
Ru  0.377  0.123  0.500

(5)
Here is Ba2TbTl2O6 after structural relaxation from Alexandria via LeMat-Bulk. Energies are from PBE.

Output
SG: R-3m (166)
ΔE_f (raw) (eV/atom): -1.814

Lattice parameters (Å, degrees): 6.526 6.526 7.167 62.92 62.92 60.00
Sites, in units of the cell vectors:
O  0.766  0.206  0.262
O  0.234  0.794  0.738
O  0.766  0.766  0.262
O  0.234  0.234  0.738
Tl  0.400  0.400  0.801
Ba  0.199  0.199  0.402
Tb  0.000  0.000  0.000
Ba  0.801  0.801  0.598
O  0.794  0.234  0.738
O  0.206  0.766  0.262
Tl  0.600  0.600  0.199

(6)
Here is Li2AlCd after structural relaxation from Alexandria via LeMat-Bulk. Energies are from PBE.

Output
SG: P4mm (99)
Energy relative to the elements (eV per atom): -0.0977

Lattice parameters (Å, degrees): 3.333 3.333 6.392 90.00 90.00 90.00
Sites, in units of the cell vectors:
Cd  0.500  0.500  0.762
Li  0.500  0.500  0.250
Al  0.000  0.000  0.482
Li  0.000  0.000  0.006

(7)
Here is Cr4GaTc after structural relaxation from Alexandria via LeMat-Bulk. Energies are from PBE.

Output
SG: F-43m (216)
Energy relative to the elements (eV per atom): 0.0482

Lattice parameters (Å, degrees): 4.754 4.754 4.754 60.00 60.00 60.00
Sites, in units of the cell vectors:
Cr  0.626  0.626  0.123
Ga  0.000  0.000  0.000
Cr  0.626  0.123  0.626
Cr  0.626  0.626  0.626
Cr  0.123  0.626  0.626
Tc  0.250  0.250  0.250

(8)
Here is CuTcSb2 after structural relaxation from Alexandria via LeMat-Bulk. Energies are from PBE.

Output
SG: Pmm2 (25)
E above lowest polymorph (meV per atom): 153.4
ΔE_f (raw) (eV/atom): 0.261

Lattice parameters (Å, degrees): 3.373 4.084 5.478 90.00 90.00 90.00
Sites, in units of the cell vectors:
Cu  0.500  0.500  0.793
Sb  0.500  0.500  0.312
Sb  0.000  0.000  0.942
Tc  0.000  0.000  0.453

(9)
Here is LiGeSb after structural relaxation from Alexandria via LeMat-Bulk. Energies are from PBE.

Output
SG: P3m1 (156)
E above lowest polymorph (meV per atom): 39.3
ΔE_f (raw) (eV/atom): -0.072

Lattice parameters (Å, degrees): 3.153 4.952 4.952 120.00 90.00 90.00
Sites, in units of the cell vectors:
Li  0.665  0.667  0.333
Sb  0.167  0.333  0.667
Ge  0.167  0.000  0.000

(10)
Here is HgPd2S after structural relaxation from Alexandria via LeMat-Bulk. Energies are from PBE.

Output
SG: R-3m (166)
ΔE_f (raw) (eV/atom): -0.069

Lattice parameters (Å, degrees): 3.209 3.209 7.996 78.42 78.42 60.00
Sites, in units of the cell vectors:
Hg  0.000  0.000  0.000
Pd  0.761  0.761  0.717
S  0.500  0.500  0.500
Pd  0.239  0.239  0.283

(11)
Here is Sr2NbSiB after structural relaxation from Alexandria via LeMat-Bulk. Energies are from PBE.

Output
SG: P4/mmm (123)
ΔE_f (raw) (eV/atom): 1.451

Lattice parameters (Å, degrees): 5.795 4.841 5.795 90.00 90.00 90.00
Sites, in units of the cell vectors:
Sr  0.000  0.000  0.500
Si  0.000  0.500  0.000
B  0.500  0.500  0.500
Nb  0.000  0.000  0.000
Sr  0.500  0.000  0.000

(12)
Here is LaPmEr2Tm5 after structural relaxation from Alexandria via LeMat-Bulk. Energies are from PBE.

Output
SG: I4/mcm (140)
Energy relative to the elements (eV per atom): 0.2820

Lattice parameters (Å, degrees): 8.864 8.864 9.679 117.25 117.25 90.00
Sites, in units of the cell vectors:
Tm  0.927  0.427  0.259
Tm  0.333  0.833  0.259
Tm  0.500  0.500  0.000
Tm  0.573  0.667  0.741
La  0.750  0.750  0.500
Tm  0.073  0.573  0.741
Pm  0.750  0.250  0.500
Er  0.386  0.886  0.000
Er  0.114  0.386  0.000
Tm  0.167  0.073  0.741
Tm  0.667  0.167  0.741
Er  0.614  0.114  0.000
Tm  0.000  0.000  0.000
Tm  0.427  0.333  0.259
Tm  0.833  0.927  0.259
La  0.250  0.250  0.500
Pm  0.250  0.750  0.500
Er  0.886  0.614  0.000

In the order shown, the computed E values come out to -5.922 -5.953 -3.509 -4.044 -5.720 -2.219 -8.600 -5.415 -3.624 -3.772 -3.656 -4.291 eV/atom.
In the order shown, the computed DOS(E_F) values come out to 14.85 6.13 3.27 13.09 3.75 2.10 6.29 2.84 1.31 1.86 5.54 24.03 states/eV/cell.
In the order shown, the computed total magnetic moment values come out to 3.306 0.616 3.381 0.000 0.000 0.000 0.000 0.000 0.000 0.000 0.001 0.002 μB per formula unit.